Record 1
# Tm4AgSe3

A relaxed Tm4AgSe3 crystal (GGA-PBE, Alexandria via LeMat-Bulk).

Output
- raw formation energy (meV per atom) = -1293
- total magnetic moment (Bohr magnetons per cell) = 0.00

```
data_Tm4AgSe3
_chemical_formula_sum 'Tm8 Ag2 Se6'
_cell_length_a 8.366
_cell_length_b 11.518
_cell_length_c 3.935
_cell_angle_alpha 90.00
_cell_angle_beta 90.00
_cell_angle_gamma 90.00
_symmetry_space_group_name_H-M 'C m m m'
_symmetry_Int_Tables_number 65
_symmetry_space_group_name_Hall '-C 2 2'
loop_
_atom_site_label
_atom_site_type_symbol
_atom_site_fract_x
_atom_site_fract_y
_atom_site_fract_z
_atom_site_occupancy
Tm1 Tm 0.000 0.250 0.000 1
Tm2 Tm 0.248 0.000 0.500 1
Ag1 Ag 0.000 0.000 0.000 1
Se1 Se 0.000 0.500 0.000 1
Se2 Se 0.250 0.250 0.500 1
```

Record 2
# Tm6AgSe5

A relaxed Tm6AgSe5 crystal (GGA-PBE, Alexandria via LeMat-Bulk).

Output
- raw formation energy (meV per atom) = -1434
- total magnetic moment (Bohr magnetons per cell) = 0.00

```
data_Tm6AgSe5
_chemical_formula_sum 'Tm12 Ag2 Se10'
_cell_length_a 7.012
_cell_length_b 12.172
_cell_length_c 7.001
_cell_angle_alpha 90.00
_cell_angle_beta 109.65
_cell_angle_gamma 90.00
_symmetry_space_group_name_H-M 'C 1 2/m 1'
_symmetry_Int_Tables_number 12
_symmetry_space_group_name_Hall '-C 2y'
loop_
_atom_site_label
_atom_site_type_symbol
_atom_site_fract_x
_atom_site_fract_y
_atom_site_fract_z
_atom_site_occupancy
Tm1 Tm 0.247 0.166 0.246 1
Tm2 Tm 0.248 0.000 0.750 1
Ag1 Ag 0.000 0.000 0.000 1
Se1 Se 0.000 0.171 0.500 1
Se2 Se 0.000 0.335 0.000 1
Se3 Se 0.000 0.500 0.500 1
```

Record 3
# TmAg2Se3

A relaxed TmAg2Se3 crystal (GGA-PBE, Alexandria via LeMat-Bulk).

Output
- raw formation energy (meV per atom) = -523
- total magnetic moment (Bohr magnetons per cell) = 0.00

```
data_TmAg2Se3
_chemical_formula_sum 'Tm4 Ag8 Se12'
_cell_length_a 8.452
_cell_length_b 13.076
_cell_length_c 5.248
_cell_angle_alpha 90.00
_cell_angle_beta 90.00
_cell_angle_gamma 90.00
_symmetry_space_group_name_H-M 'C m c m'
_symmetry_Int_Tables_number 63
_symmetry_space_group_name_Hall '-C 2c 2'
loop_
_atom_site_label
_atom_site_type_symbol
_atom_site_fract_x
_atom_site_fract_y
_atom_site_fract_z
_atom_site_occupancy
Tm1 Tm 0.000 0.243 0.250 1
Ag1 Ag 0.218 0.500 0.000 1
Se1 Se 0.000 0.369 0.750 1
Se2 Se 0.194 0.166 0.750 1
```

Record 4
# TmAg5Se4

A relaxed TmAg5Se4 crystal (GGA-PBE, Alexandria via LeMat-Bulk).

Output
- raw formation energy (meV per atom) = -459
- total magnetic moment (Bohr magnetons per cell) = 0.00

```
data_TmAg5Se4
_chemical_formula_sum 'Tm2 Ag10 Se8'
_cell_length_a 4.214
_cell_length_b 7.752
_cell_length_c 14.683
_cell_angle_alpha 90.00
_cell_angle_beta 90.00
_cell_angle_gamma 90.00
_symmetry_space_group_name_H-M 'I m m m'
_symmetry_Int_Tables_number 71
_symmetry_space_group_name_Hall '-I 2 2'
loop_
_atom_site_label
_atom_site_type_symbol
_atom_site_fract_x
_atom_site_fract_y
_atom_site_fract_z
_atom_site_occupancy
Tm1 Tm 0.000 0.000 0.000 1
Ag1 Ag 0.000 0.262 0.318 1
Ag2 Ag 0.000 0.500 0.000 1
Se1 Se 0.000 0.000 0.197 1
Se2 Se 0.000 0.242 0.500 1
```

> Which value of total magnetic moment does entry 4 give?

0.00 Bohr magnetons per cell

> The lowest raw formation energy belongs to which entry?

Tm6AgSe5

Please write out number 4 again, unchanged.
# TmAg5Se4

A relaxed TmAg5Se4 crystal (GGA-PBE, Alexandria via LeMat-Bulk).

Output
- raw formation energy (meV per atom) = -459
- total magnetic moment (Bohr magnetons per cell) = 0.00

```
data_TmAg5Se4
_chemical_formula_sum 'Tm2 Ag10 Se8'
_cell_length_a 4.214
_cell_length_b 7.752
_cell_length_c 14.683
_cell_angle_alpha 90.00
_cell_angle_beta 90.00
_cell_angle_gamma 90.00
_symmetry_space_group_name_H-M 'I m m m'
_symmetry_Int_Tables_number 71
_symmetry_space_group_name_Hall '-I 2 2'
loop_
_atom_site_label
_atom_site_type_symbol
_atom_site_fract_x
_atom_site_fract_y
_atom_site_fract_z
_atom_site_occupancy
Tm1 Tm 0.000 0.000 0.000 1
Ag1 Ag 0.000 0.262 0.318 1
Ag2 Ag 0.000 0.500 0.000 1
Se1 Se 0.000 0.000 0.197 1
Se2 Se 0.000 0.242 0.500 1
```